(1)
First-principles (PBE) data for crystalline NaPBr3 at its relaxed geometry, as listed in Alexandria via LeMat-Bulk.

Spin magnetization in μB/atom: 0.20
Formation energy without anion corrections in kJ/mol of atoms: 31.3
N(E_F) in states/eV/atom: 1.11
Energy in eV/atom: -2.02
Symmetry: Pm-3m
V in Å³ per atom: 32.0
Polymorph energy (0 for the lowest one) in meV/atom: 1050

a b c (Å): 5.4286 5.4286 5.4286
angles (deg): 90.00 90.00 90.00
Last column: nearest neighbours and their distance in Å.
Atoms (fractional coordinates):
Na (0.0000, 0.0000, 0.0000)  6 Br 2.71
P (0.5000, 0.5000, 0.5000)  12 Br 3.84
Br (0.0000, 0.0000, 0.5000)  2 Na 2.71
Br (0.0000, 0.5000, 0.0000)  2 Na 2.71
Br (0.5000, 0.0000, 0.0000)  2 Na 2.71

=====

(2)
First-principles (PBE) data for crystalline PmDy3Cd at its relaxed geometry, as listed in Alexandria via LeMat-Bulk.

Spin magnetization in μB/atom: 0.00
N(E_F) in states/eV/atom: 1.40
Energy in eV/atom: -4.00
Symmetry: C2/m
V in Å³ per atom: 30.2
Polymorph energy (0 for the lowest one) in meV/atom: 0

a b c (Å): 6.7524 6.7524 12.6392
angles (deg): 93.26 93.26 31.70
Last column: nearest neighbours and their distance in Å.
Atoms (fractional coordinates):
Pm (0.2326, 0.2326, 0.2528)  2 Cd 3.30, 7 Dy 3.57-3.67, 2 Pm 3.69
Pm (0.7674, 0.7674, 0.7472)  2 Cd 3.30, 7 Dy 3.57-3.67, 2 Pm 3.69
Dy (0.0360, 0.0360, 0.6889)  2 Cd 3.25, 5 Dy 3.48-3.55, 3 Pm 3.57-3.61
Dy (0.1459, 0.1459, 0.9479)  4 Cd 3.20-3.28, 3 Dy 3.47-3.49, 2 Pm 3.58
Dy (0.3660, 0.3660, 0.5231)  9 Dy 3.48-3.69, 3 Pm 3.67-3.74
Dy (0.6340, 0.6340, 0.4769)  9 Dy 3.48-3.69, 3 Pm 3.67-3.74
Dy (0.8541, 0.8541, 0.0521)  4 Cd 3.20-3.28, 3 Dy 3.47-3.49, 2 Pm 3.58
Dy (0.9640, 0.9640, 0.3111)  2 Cd 3.25, 5 Dy 3.48-3.55, 3 Pm 3.57-3.61
Cd (0.4459, 0.4459, 0.8736)  6 Dy 3.20-3.28, 2 Pm 3.30, 1 Cd 3.41
Cd (0.5541, 0.5541, 0.1264)  6 Dy 3.20-3.28, 2 Pm 3.30, 1 Cd 3.41

=====

(3)
First-principles (PBE) data for crystalline Cr2IrCl at its relaxed geometry, as listed in Alexandria via LeMat-Bulk.

Spin magnetization in μB/atom: 0.12
Formation energy without anion corrections in kJ/mol of atoms: 36.7
N(E_F) in states/eV/atom: 0.90
Energy in eV/atom: -7.11
Symmetry: Cmm2
V in Å³ per atom: 15.9
Polymorph energy (0 for the lowest one) in meV/atom: 304

a b c (Å): 2.8197 2.8197 9.0714
angles (deg): 90.00 90.00 118.20
Last column: nearest neighbours and their distance in Å.
Atoms (fractional coordinates):
Cr (0.0000, 0.0000, 0.0000)  2 Cl 2.35, 2 Cr 2.36
Cr (0.5000, 0.5000, 0.2059)  2 Cr 2.36, 2 Ir 2.48
Ir (0.0000, 0.0000, 0.4284)  2 Cr 2.48
Cl (0.5000, 0.5000, 0.7955)  2 Cr 2.35

=====

(4)
First-principles (PBE) data for crystalline Tl2ZnGaS4 at its relaxed geometry, as listed in Alexandria via LeMat-Bulk.

Spin magnetization in μB/atom: 0.00
Formation energy without anion corrections in kJ/mol of atoms: -44.5
N(E_F) in states/eV/atom: 0.68
Energy in eV/atom: -3.65
Symmetry: I-4
V in Å³ per atom: 25.3

a b c (Å): 6.4949 6.4949 6.4949
angles (deg): 116.70 116.70 95.81
Last column: nearest neighbours and their distance in Å.
Atoms (fractional coordinates):
Tl (0.0000, 0.0000, 0.0000)  4 S 3.12
Tl (0.7500, 0.2500, 0.5000)  4 S 2.95
Zn (0.2500, 0.7500, 0.5000)  4 S 2.36
Ga (0.5000, 0.5000, 0.0000)  4 S 2.29
S (0.1979, 0.6014, 0.0675)  1 Ga 2.29, 1 Zn 2.36
S (0.3986, 0.4661, 0.5965)  1 Ga 2.29, 1 Zn 2.36
S (0.5339, 0.1303, 0.9325)  1 Ga 2.29, 1 Zn 2.36
S (0.8697, 0.8021, 0.4035)  1 Ga 2.29, 1 Zn 2.36

=====

(5)
First-principles (PBE) data for crystalline Sb2PdSe at its relaxed geometry, as listed in Alexandria via LeMat-Bulk.

Spin magnetization in μB/atom: 0.00
Formation energy without anion corrections in kJ/mol of atoms: -14.8
N(E_F) in states/eV/atom: 0.47
Energy in eV/atom: -4.38
Symmetry: R3m
V in Å³ per atom: 23.6

a b c (Å): 7.8147 7.8147 7.8147
angles (deg): 28.22 28.22 28.22
Last column: nearest neighbours and their distance in Å.
Atoms (fractional coordinates):
Sb (0.0000, 0.0000, 0.0000)  3 Pd 2.76, 3 Se 2.96
Sb (0.1863, 0.1863, 0.1863)  3 Pd 2.74
Pd (0.5925, 0.5925, 0.5925)  6 Sb 2.74-2.76
Se (0.4211, 0.4211, 0.4211)  6 Sb 2.96-3.12

=====

(6)
First-principles (PBE) data for crystalline CuRu2W at its relaxed geometry, as listed in Alexandria via LeMat-Bulk.

Spin magnetization in μB/atom: 0.00
N(E_F) in states/eV/atom: 1.15
Energy in eV/atom: -8.20
Symmetry: I-42d
V in Å³ per atom: 15.9
Polymorph energy (0 for the lowest one) in meV/atom: 628

a b c (Å): 5.5474 5.5474 5.5474
angles (deg): 103.83 103.83 121.47
Last column: nearest neighbours and their distance in Å.
Atoms (fractional coordinates):
Cu (0.0000, 0.0000, 0.0000)  4 Ru 2.61, 2 W 2.71
Cu (0.7500, 0.2500, 0.5000)  4 Ru 2.61, 2 W 2.71
Ru (0.1454, 0.1250, 0.5204)  2 W 2.42, 2 Cu 2.61
Ru (0.3750, 0.8546, 0.9796)  2 W 2.42, 2 Cu 2.61
Ru (0.6046, 0.6250, 0.4796)  2 W 2.42, 2 Cu 2.61
Ru (0.8750, 0.3954, 0.0204)  2 W 2.42, 2 Cu 2.61
W (0.2500, 0.7500, 0.5000)  4 Ru 2.42
W (0.5000, 0.5000, 0.0000)  4 Ru 2.42

=====

(7)
First-principles (PBE) data for crystalline TaRh2IN at its relaxed geometry, as listed in Alexandria via LeMat-Bulk.

Spin magnetization in μB/atom: 0.53
Formation energy without anion corrections in kJ/mol of atoms: 180.0
N(E_F) in states/eV/atom: 0.78
Energy in eV/atom: -5.42
Symmetry: P4/mmm
V in Å³ per atom: 25.7

a b c (Å): 4.8128 4.8128 5.5566
angles (deg): 90.00 90.00 90.00
Last column: nearest neighbours and their distance in Å.
Atoms (fractional coordinates):
Ta (0.0000, 0.0000, 0.0000)  4 Rh 2.41
Rh (0.0000, 0.5000, 0.0000)  2 Ta 2.41
Rh (0.5000, 0.0000, 0.0000)  2 Ta 2.41
I (0.0000, 0.0000, 0.5000)  2 Ta 2.78
N (0.5000, 0.5000, 0.5000)  4 I 3.40, 8 Rh 3.68

=====

(8)
First-principles (PBE) data for crystalline Sr2LiOsN4 at its relaxed geometry, as listed in Alexandria via LeMat-Bulk.

Spin magnetization in μB/atom: 0.00
Formation energy without anion corrections in kJ/mol of atoms: -27.4
N(E_F) in states/eV/atom: 0.44
Energy in eV/atom: -6.51
Symmetry: Fddd
V in Å³ per atom: 15.6

a b c (Å): 10.9878 9.7453 6.0720
angles (deg): 84.61 62.01 33.38
Last column: nearest neighbours and their distance in Å.
Atoms (fractional coordinates):
Sr (0.0499, 0.0499, 0.7001)  8 N 2.87-2.98
Sr (0.2999, 0.2999, 0.9501)  8 N 2.87-2.98
Sr (0.7001, 0.7001, 0.0499)  8 N 2.87-2.98
Sr (0.9501, 0.9501, 0.2999)  8 N 2.87-2.98
Li (0.1250, 0.1250, 0.1250)  4 N 1.93
Li (0.8750, 0.8750, 0.8750)  4 N 1.93
Os (0.3750, 0.3750, 0.3750)  4 N 1.85
Os (0.6250, 0.6250, 0.6250)  4 N 1.85
N (0.0118, 0.3410, 0.4377)  1 Os 1.85, 1 Li 1.93
N (0.2905, 0.5623, 0.6590)  1 Os 1.85, 1 Li 1.93
N (0.3410, 0.0118, 0.7095)  1 Os 1.85, 1 Li 1.93
N (0.4377, 0.7095, 0.0118)  1 Os 1.85, 1 Li 1.93
N (0.5623, 0.2905, 0.9882)  1 Os 1.85, 1 Li 1.93
N (0.6590, 0.9882, 0.2905)  1 Os 1.85, 1 Li 1.93
N (0.7095, 0.4377, 0.3410)  1 Os 1.85, 1 Li 1.93
N (0.9882, 0.6590, 0.5623)  1 Os 1.85, 1 Li 1.93

=====

(9)
First-principles (PBE) data for crystalline Pu2Si6PtRh at its relaxed geometry, as listed in Alexandria via LeMat-Bulk.

Spin magnetization in μB/atom: 0.05
Formation energy without anion corrections in kJ/mol of atoms: -39.1
N(E_F) in states/eV/atom: 1.82
Energy in eV/atom: -7.86
Symmetry: R-3m
V in Å³ per atom: 18.7

a b c (Å): 13.0186 13.0186 13.0186
angles (deg): 26.00 26.00 26.00
Last column: nearest neighbours and their distance in Å.
Atoms (fractional coordinates):
Pu (0.1256, 0.1256, 0.1256)  12 Si 2.95-3.20
Pu (0.2775, 0.2775, 0.2775)  9 Si 2.95-3.14
Pu (0.7225, 0.7225, 0.7225)  9 Si 2.95-3.14
Pu (0.8744, 0.8744, 0.8744)  12 Si 2.95-3.20
Si (0.0644, 0.6642, 0.6642)  2 Si 2.34, 1 Rh 2.44, 1 Pt 2.58
Si (0.1900, 0.1900, 0.7783)  1 Pt 2.40, 2 Si 2.41, 1 Rh 2.43
Si (0.1900, 0.7783, 0.1900)  1 Pt 2.40, 2 Si 2.41, 1 Rh 2.43
Si (0.2217, 0.8100, 0.8100)  1 Pt 2.40, 2 Si 2.41, 1 Rh 2.43
Si (0.3358, 0.3358, 0.9356)  2 Si 2.34, 1 Rh 2.44, 1 Pt 2.58
Si (0.3358, 0.9356, 0.3358)  2 Si 2.34, 1 Rh 2.44, 1 Pt 2.58
Si (0.6642, 0.0644, 0.6642)  2 Si 2.34, 1 Rh 2.44, 1 Pt 2.58
Si (0.6642, 0.6642, 0.0644)  2 Si 2.34, 1 Rh 2.44, 1 Pt 2.58
Si (0.7783, 0.1900, 0.1900)  1 Pt 2.40, 2 Si 2.41, 1 Rh 2.43
Si (0.8100, 0.2217, 0.8100)  1 Pt 2.40, 2 Si 2.41, 1 Rh 2.43
Si (0.8100, 0.8100, 0.2217)  1 Pt 2.40, 2 Si 2.41, 1 Rh 2.43
Si (0.9356, 0.3358, 0.3358)  2 Si 2.34, 1 Rh 2.44, 1 Pt 2.58
Pt (0.4218, 0.4218, 0.4218)  6 Si 2.40-2.58
Pt (0.5782, 0.5782, 0.5782)  6 Si 2.40-2.58
Rh (0.0000, 0.0000, 0.0000)  6 Si 2.43
Rh (0.5000, 0.5000, 0.5000)  6 Si 2.44

=====

(10)
First-principles (PBE) data for crystalline SrZnCuAu6 at its relaxed geometry, as listed in Alexandria via LeMat-Bulk.

Spin magnetization in μB/atom: 0.00
N(E_F) in states/eV/atom: 0.27
Energy in eV/atom: -3.08
Symmetry: Imma
V in Å³ per atom: 24.2

a b c (Å): 9.2208 9.2208 9.2208
angles (deg): 136.51 124.37 73.14
Last column: nearest neighbours and their distance in Å.
Atoms (fractional coordinates):
Sr (0.3352, 0.0852, 0.2500)  7 Au 3.09-3.45
Sr (0.6648, 0.9148, 0.7500)  7 Au 3.09-3.45
Zn (0.0000, 0.5000, 0.5000)  6 Au 2.60-2.75
Zn (0.5000, 0.5000, 0.0000)  6 Au 2.60-2.75
Cu (0.0000, 0.0000, 0.5000)  6 Au 2.53
Cu (0.0000, 0.5000, 0.0000)  6 Au 2.53
Au (0.1254, 0.4323, 0.2670)  1 Cu 2.53, 1 Zn 2.60, 2 Au 2.78-2.80
Au (0.1254, 0.8584, 0.6931)  1 Cu 2.53, 1 Zn 2.60, 2 Au 2.78-2.80
Au (0.1265, 0.8765, 0.2500)  2 Cu 2.53, 4 Au 2.80
Au (0.3347, 0.1416, 0.7670)  1 Cu 2.53, 1 Zn 2.60, 2 Au 2.78-2.80
Au (0.3347, 0.5677, 0.1931)  1 Cu 2.53, 1 Zn 2.60, 2 Au 2.78-2.80
Au (0.3661, 0.6161, 0.7500)  2 Zn 2.75, 4 Au 2.78
Au (0.6339, 0.3839, 0.2500)  2 Zn 2.75, 4 Au 2.78
Au (0.6653, 0.4323, 0.8069)  1 Cu 2.53, 1 Zn 2.60, 2 Au 2.78-2.80
Au (0.6653, 0.8584, 0.2330)  1 Cu 2.53, 1 Zn 2.60, 2 Au 2.78-2.80
Au (0.8735, 0.1235, 0.7500)  2 Cu 2.53, 4 Au 2.80
Au (0.8746, 0.1416, 0.3069)  1 Cu 2.53, 1 Zn 2.60, 2 Au 2.78-2.80
Au (0.8746, 0.5677, 0.7330)  1 Cu 2.53, 1 Zn 2.60, 2 Au 2.78-2.80

=====

(11)
First-principles (PBE) data for crystalline HfGaTc2 at its relaxed geometry, as listed in Alexandria via LeMat-Bulk.

Spin magnetization in μB/atom: 0.00
N(E_F) in states/eV/atom: 1.67
Energy in eV/atom: -8.02
Symmetry: I-42d
V in Å³ per atom: 17.3

a b c (Å): 5.7189 5.7189 5.7189
angles (deg): 103.60 103.60 121.99
Last column: nearest neighbours and their distance in Å.
Atoms (fractional coordinates):
Hf (0.0000, 0.0000, 0.0000)  4 Tc 2.74, 2 Ga 2.77
Hf (0.7500, 0.2500, 0.5000)  4 Tc 2.74, 2 Ga 2.77
Ga (0.2500, 0.7500, 0.5000)  4 Tc 2.46
Ga (0.5000, 0.5000, 0.0000)  4 Tc 2.46
Tc (0.1539, 0.1250, 0.5289)  2 Ga 2.46, 2 Hf 2.74
Tc (0.3750, 0.8461, 0.9711)  2 Ga 2.46, 2 Hf 2.74
Tc (0.5961, 0.6250, 0.4711)  2 Ga 2.46, 2 Hf 2.74
Tc (0.8750, 0.4039, 0.0289)  2 Ga 2.46, 2 Hf 2.74

=====

(12)
First-principles (PBE) data for crystalline BaTi3Cl at its relaxed geometry, as listed in Alexandria via LeMat-Bulk.

Spin magnetization in μB/atom: 0.58
Formation energy without anion corrections in kJ/mol of atoms: 182.3
N(E_F) in states/eV/atom: 1.66
Energy in eV/atom: -3.60
Symmetry: Pm-3m
V in Å³ per atom: 27.4
Polymorph energy (0 for the lowest one) in meV/atom: 1495

a b c (Å): 5.1537 5.1537 5.1537
angles (deg): 90.00 90.00 90.00
Last column: nearest neighbours and their distance in Å.
Atoms (fractional coordinates):
Ba (0.0000, 0.0000, 0.0000)  6 Ti 2.58
Ti (0.0000, 0.0000, 0.5000)  2 Ba 2.58
Ti (0.0000, 0.5000, 0.0000)  2 Ba 2.58
Ti (0.5000, 0.0000, 0.0000)  2 Ba 2.58
Cl (0.5000, 0.5000, 0.5000)  12 Ti 3.64